No. 1
10
Lattice="7.9953 0.0000 0.0000 0.0000 7.9953 0.0000 0.0000 0.0000 4.2079" Properties=species:S:1:pos:R:3 comment="SrSi2Bi2 (GGA-PBE, optimized geometry)" magnetic_moment_mub_per_fu=0.0 space_group="No. 127" n_ef_per_ev_atom=0.74 relative_energy_mev_per_atom=7.4 pbc="T T T"
Bi 2.5654 1.4322 2.1039
Bi 6.5631 2.5654 2.1039
Bi 1.4322 5.4299 2.1039
Bi 5.4299 6.5631 2.1039
Si 3.1527 7.1504 0.0000
Si 4.8426 0.8449 0.0000
Si 0.8449 3.1527 0.0000
Si 7.1504 4.8426 0.0000
Sr 0.0000 0.0000 0.0000
Sr 3.9977 3.9977 0.0000

No. 2
5
Lattice="4.6829 0.0000 0.0000 0.0000 3.8814 0.0000 0.0000 0.0000 4.6829" Properties=species:S:1:pos:R:3 comment="TaNi2AuN (GGA-PBE, optimized geometry)" magnetic_moment_mub_per_fu=0.0 space_group="No. 123" n_ef_per_ev_atom=0.49 final_energy_ev_per_cell=-30.44 pbc="T T T"
Ni 0.0000 0.0000 2.3414
Ni 2.3414 0.0000 0.0000
N 0.0000 1.9407 0.0000
Au 2.3414 1.9407 2.3414
Ta 0.0000 0.0000 0.0000

No. 3
9
Lattice="3.3844 -5.8620 0.0000 3.3844 5.8620 0.0000 0.0000 0.0000 4.3406" Properties=species:S:1:pos:R:3 comment="Re2Hg (GGA-PBE, optimized geometry)" magnetic_moment_mub_per_fu=0.0 space_group="No. 189" n_ef_per_ev_atom=0.84 relative_energy_mev_per_atom=993.1 pbc="T T T"
Re 1.4819 2.5667 2.1703
Re 5.2158 0.0000 0.0000
Re 0.7765 1.3449 0.0000
Re 3.8050 0.0000 2.1703
Re 1.4819 -2.5667 2.1703
Re 0.7765 -1.3449 0.0000
Hg 0.0000 0.0000 2.1703
Hg 3.3844 -1.9540 0.0000
Hg 3.3844 1.9540 0.0000

Q: What is the formula in the third record?
A: Re2Hg

Q: Number 1 is which compound?
A: SrSi2Bi2